(1)
VNi3F | PBE+U | optimized geometry

Cell and atoms, written as extended XYZ:
```
5
Lattice="4.1460 0.0000 0.0000 0.0000 4.1460 0.0000 0.0000 0.0000 4.1460" Properties=species:S:1:pos:R:3 pbc="T T T"
Ni 2.0730 0.0000 0.0000
F 0.0000 0.0000 0.0000
V 2.0730 2.0730 2.0730
Ni 0.0000 0.0000 2.0730
Ni 0.0000 2.0730 0.0000
```

Computed properties:
Volume ... 71.3 Å³ per cell
Density ... 5.732 g/cm³
Energy relative to the lowest polymorph listed for this composition ... 0.0 kJ/mol of atoms
Symmetry ... Pm-3m (221)

=====

(2)
Ni3WF | PBE+U | optimized geometry

Cell and atoms, written as extended XYZ:
```
5
Lattice="-0.4284 -3.6829 -1.8518 4.0625 -0.6928 0.4381 -0.6988 -1.7699 3.6817" Properties=species:S:1:pos:R:3 pbc="T T T"
Ni -0.3494 -0.8850 1.8409
W 1.4676 -3.0728 1.1340
Ni -0.2142 -1.8414 -0.9259
F 0.0000 0.0000 0.0000
Ni 2.0313 -0.3464 0.2190
```

Computed properties:
Volume ... 71.2 Å³ per cell
Density ... 8.839 g/cm³
Energy relative to the lowest polymorph listed for this composition ... 0.0 kJ/mol of atoms
Symmetry ... Pm-3m (221)

=====

(3)
NiWF3 | PBE+U | optimized geometry

Cell and atoms, written as extended XYZ:
```
5
Lattice="4.3313 0.0000 0.0000 0.0000 4.3313 0.0000 0.0000 0.0000 4.3313" Properties=species:S:1:pos:R:3 pbc="T T T"
F 0.0000 0.0000 2.1656
Ni 2.1656 2.1656 2.1656
W 0.0000 0.0000 0.0000
F 0.0000 2.1656 0.0000
F 2.1656 0.0000 0.0000
```

Computed properties:
Volume ... 81.3 Å³ per cell
Density ... 6.121 g/cm³
Energy relative to the lowest polymorph listed for this composition ... 0.0 kJ/mol of atoms
Symmetry ... Pm-3m (221)

=====

(4)
NiW2F | PBE+U | optimized geometry

Cell and atoms, written as extended XYZ:
```
4
Lattice="1.2857 -1.4158 3.7719 1.9081 2.6295 2.7073 -2.0010 1.2331 3.5157" Properties=species:S:1:pos:R:3 pbc="T T T"
Ni 0.5964 1.2234 4.9975
W 0.8946 1.8352 7.4962
W 0.2982 0.6117 2.4987
F 0.0000 0.0000 0.0000
```

Computed properties:
Volume ... 53.5 Å³ per cell
Density ... 13.828 g/cm³
Energy relative to the lowest polymorph listed for this composition ... 0.0 kJ/mol of atoms
Symmetry ... Fm-3m (225)

=====

(5)
NiW2F | PBE+U | optimized geometry

Cell and atoms, written as extended XYZ:
```
8
Lattice="-1.4228 -0.7484 -6.1619 0.6438 -6.3054 0.6172 -3.1303 -3.7422 -2.1133" Properties=species:S:1:pos:R:3 pbc="T T T"
W -0.5915 -4.9876 -1.0576
W -2.6248 -5.6000 -3.6498
W -3.0446 -8.8307 -6.4512
W -1.5580 -2.1739 -4.1577
F -1.4381 -6.7873 -2.1343
F -0.3895 -3.5269 -2.7724
Ni 0.0000 0.0000 0.0000
Ni -2.4714 -4.0088 -5.5238
```

Computed properties:
Volume ... 114.7 Å³ per cell
Density ... 12.901 g/cm³
Energy relative to the lowest polymorph listed for this composition ... 6.8 kJ/mol of atoms
Symmetry ... I-42d (122)

=====

(6)
NiWF3 | PBE+U | optimized geometry

Cell and atoms, written as extended XYZ:
```
5
Lattice="-2.5816 3.0286 0.6623 -2.3749 -2.4860 2.1108 1.9927 0.9608 3.3737" Properties=species:S:1:pos:R:3 pbc="T T T"
F 0.9964 0.4804 1.6869
Ni 0.0000 0.0000 0.0000
F -1.1875 -1.2430 1.0554
F -1.2908 1.5143 0.3312
W -1.4819 0.7517 3.0734
```

Computed properties:
Volume ... 65.7 Å³ per cell
Density ... 7.575 g/cm³
Energy relative to the lowest polymorph listed for this composition ... 70.5 kJ/mol of atoms
Symmetry ... Pm-3m (221)

=====

(7)
Ni3WF | PBE+U | optimized geometry

Cell and atoms, written as extended XYZ:
```
5
Lattice="-0.6483 1.9761 -4.1268 -4.4274 -1.3230 0.0620 -1.1549 3.9624 2.0788" Properties=species:S:1:pos:R:3 pbc="T T T"
F -3.1153 2.3078 -0.9930
Ni -0.5775 1.9812 1.0394
W 0.0000 0.0000 0.0000
Ni -0.3241 0.9880 -2.0634
Ni -2.2137 -0.6615 0.0310
```

Computed properties:
Volume ... 98.7 Å³ per cell
Density ... 6.376 g/cm³
Energy relative to the lowest polymorph listed for this composition ... 145.8 kJ/mol of atoms
Symmetry ... Pm-3m (221)

=====

(8)
NiW3F | PBE+U | optimized geometry

Cell and atoms, written as extended XYZ:
```
5
Lattice="4.2110 0.0000 0.0000 0.0000 4.2110 0.0000 0.0000 0.0000 4.2110" Properties=species:S:1:pos:R:3 pbc="T T T"
F 0.0000 0.0000 0.0000
W 2.1055 0.0000 0.0000
W 0.0000 0.0000 2.1055
W 0.0000 2.1055 0.0000
Ni 2.1055 2.1055 2.1055
```

Computed properties:
Volume ... 74.7 Å³ per cell
Density ... 13.992 g/cm³
Energy relative to the lowest polymorph listed for this composition ... 0.0 kJ/mol of atoms
Symmetry ... Pm-3m (221)

=====

(9)
YNi2F | PBE+U | optimized geometry

Cell and atoms, written as extended XYZ:
```
4
Lattice="3.5900 0.5704 2.4483 -0.0140 -1.1854 4.2193 2.3341 -3.4709 1.3088" Properties=species:S:1:pos:R:3 pbc="T T T"
Ni 1.4775 -1.0215 1.9941
F 0.0000 0.0000 0.0000
Y 2.9551 -2.0429 3.9882
Ni 4.4326 -3.0644 5.9824
```

Computed properties:
Volume ... 59.5 Å³ per cell
Density ... 6.285 g/cm³
Energy relative to the lowest polymorph listed for this composition ... 86.1 kJ/mol of atoms
Symmetry ... Fm-3m (225)

=====

(10)
YNi2F | PBE+U | optimized geometry

Cell and atoms, written as extended XYZ:
```
8
Lattice="7.8967 0.0000 0.0000 0.0000 7.8967 0.0000 3.9483 3.9483 2.2788" Properties=species:S:1:pos:R:3 pbc="T T T"
F 3.9483 3.9483 0.0000
Y 0.0000 0.0000 0.0000
Ni 5.5963 1.9742 0.5697
Ni 9.8709 9.5446 1.7091
Ni 2.3004 5.9225 0.5697
Y 7.8967 3.9483 1.1394
Ni 5.9225 6.2487 1.7091
F 3.9483 7.8967 1.1394
```

Computed properties:
Volume ... 142.1 Å³ per cell
Density ... 5.265 g/cm³
Energy relative to the lowest polymorph listed for this composition ... 0.0 kJ/mol of atoms
Symmetry ... I-42d (122)

=====

(11)
ZnNiF4 | PBE+U | optimized geometry

Cell and atoms, written as extended XYZ:
```
6
Lattice="-4.3605 2.6881 -3.6960 -4.5584 -2.1908 3.7845 4.5895 1.8404 1.3218" Properties=species:S:1:pos:R:3 pbc="T T T"
Zn -2.1152 2.3886 -1.1650
F 1.8648 1.4878 1.8987
F -3.6793 1.2703 -1.3708
Ni -4.4594 0.2487 0.0442
F -5.2269 -0.5704 1.5917
F -1.6173 2.4878 0.7008
```

Computed properties:
Volume ... 99.7 Å³ per cell
Density ... 3.332 g/cm³
Energy relative to the lowest polymorph listed for this composition ... 23.9 kJ/mol of atoms
Symmetry ... I-4 (82)

=====

(12)
ZnNiF3 | PBE+U | optimized geometry

Cell and atoms, written as extended XYZ:
```
5
Lattice="-2.5544 1.8635 -2.4633 -3.0475 -2.0415 1.6158 -0.5034 2.9026 2.7179" Properties=species:S:1:pos:R:3 pbc="T T T"
F -1.2772 0.9318 -1.2316
F -0.2517 1.4513 1.3589
F -1.5237 -1.0207 0.8079
Zn -3.0526 1.3623 0.9352
Ni 0.0000 0.0000 0.0000
```

Computed properties:
Volume ... 64.4 Å³ per cell
Density ... 4.670 g/cm³
Energy relative to the lowest polymorph listed for this composition ... 0.0 kJ/mol of atoms
Symmetry ... Pm-3m (221)